[1]
NaFe2Os after structural relaxation. Source: the Alexandria database, functional PBEsol.

Cell: 5.8355 5.8355 5.8355 Å, 90.00 90.00 90.00°
Closest atoms and distances in Å follow each position.
Space group Fm-3m (No. 225)
Symmetry-distinct sites (fractional):
Na 0.0000 0.0000 0.0000 [4 per cell]  8 Fe 2.53
Fe 0.2500 0.2500 0.2500 [8 per cell]  4 Na 2.53, 4 Os 2.53
Os 0.0000 0.0000 0.5000 [4 per cell]  8 Fe 2.53

Values from the calculation:
Crystal system = cubic
Formation energy from the elements = 87 kJ/mol of atoms
Calculated total energy = -6.984 eV/atom
Total magnetic moment = 0.269 μB per atom



[2]
NbRhBr3 after structural relaxation. Source: the Alexandria database, functional PBEsol.

Cell: 4.9279 4.9279 4.9279 Å, 90.00 90.00 90.00°
Closest atoms and distances in Å follow each position.
Space group Pm-3m (No. 221)
Symmetry-distinct sites (fractional):
Nb 0.0000 0.0000 0.0000 [1 per cell]  12 Br 3.48
Rh 0.5000 0.5000 0.5000 [1 per cell]  6 Br 2.46
Br 0.0000 0.5000 0.5000 [3 per cell]  2 Rh 2.46

Values from the calculation:
Crystal system = cubic
Uncorrected formation energy = 630 meV/atom
Calculated total energy = -4.284 eV/atom
Total magnetic moment = 0.673 μB per atom



[3]
ZnCdO2 after structural relaxation. Source: the Alexandria database, functional PBEsol.

Cell: 3.3788 3.3788 5.6358 Å, 90.00 90.00 120.00°
Closest atoms and distances in Å follow each position.
Space group P3m1 (No. 156)
Symmetry-distinct sites (fractional):
Zn 0.0000 0.0000 0.0000 [1 per cell]  4 O 1.94-2.03
Cd 0.3333 0.6667 0.5087 [1 per cell]  4 O 2.16-2.20
O 0.0000 0.0000 0.3442 [1 per cell]  1 Zn 1.94, 3 Cd 2.16
O 0.3333 0.6667 0.8985 [1 per cell]  3 Zn 2.03, 1 Cd 2.20

Values from the calculation:
Crystal system = trigonal
Uncorrected formation energy = -1155 meV/atom
Calculated total energy = -4.475 eV/atom
Total magnetic moment = 0.000 μB per atom